A geometry-optimized GdSbRh structure. Source: Alexandria via LeMat-Bulk, functional PBE-GGA.

Computed properties:
Density of states at the Fermi level, states/eV/cell: 1.56
Formation energy without anion corrections, eV/atom: -0.5341
Spin magnetization, μB per formula unit: 7.00

Cell: 3.869 3.869 5.385 Å, 111.05 111.05 90.00°
Element x y z (fractional)
Gd 0.597 0.597 0.193
Sb 0.275 0.275 0.550
Rh 0.979 0.979 0.957

---

A geometry-optimized LiTmMgPb structure. Source: Alexandria via LeMat-Bulk, functional PBE-GGA.

Computed properties:
Density of states at the Fermi level, states/eV/cell: 1.03
ΔE_f, meV per atom: -220.9
Spin magnetization, μB per formula unit: 0.00

Cell: 5.162 5.162 5.162 Å, 60.00 60.00 60.00°
Element x y z (fractional)
Tm 0.500 0.500 0.500
Pb 0.750 0.750 0.750
Mg 0.250 0.250 0.250
Li 0.000 0.000 0.000

---

A geometry-optimized LiCa2TlCu structure. Source: Alexandria via LeMat-Bulk, functional PBE-GGA.

Computed properties:
Density of states at the Fermi level, states/eV/cell: 2.66
ΔE_f, meV per atom: -41.5
Spin magnetization, μB per formula unit: 0.00

Cell: 5.597 5.597 4.581 Å, 90.00 90.00 90.00°
Element x y z (fractional)
Cu 0.000 0.000 0.000
Ca 0.000 0.500 0.000
Ca 0.500 0.000 0.000
Li 0.000 0.000 0.500
Tl 0.500 0.500 0.500

---

A geometry-optimized Tb2Sm7Y2 structure. Source: Alexandria via LeMat-Bulk, functional PBE-GGA.

Computed properties:
Density of states at the Fermi level, states/eV/cell: 16.92
ΔE_f, meV per atom: 143.2
Spin magnetization, μB per formula unit: 0.00

Cell: 8.189 6.974 6.974 Å, 104.73 99.09 99.10°
Element x y z (fractional)
Sm 0.332 0.514 0.096
Sm 0.500 0.000 0.000
Sm 0.668 0.904 0.486
Sm 0.332 0.096 0.514
Sm 0.683 0.421 0.421
Sm 0.668 0.486 0.904
Sm 0.317 0.579 0.579
Tb 0.000 0.284 0.716
Tb 0.000 0.716 0.284
Y 0.979 0.196 0.197
Y 0.021 0.804 0.803

---

A geometry-optimized TlZn2CuMo structure. Source: Alexandria via LeMat-Bulk, functional PBE-GGA.

Computed properties:
Density of states at the Fermi level, states/eV/cell: 4.84
ΔE_f, meV per atom: 981.7
Spin magnetization, μB per formula unit: 0.10

Cell: 5.078 4.695 5.078 Å, 90.00 90.00 90.00°
Element x y z (fractional)
Zn 0.500 0.000 0.000
Zn 0.000 0.000 0.500
Mo 0.000 0.000 0.000
Cu 0.000 0.500 0.000
Tl 0.500 0.500 0.500

---

A geometry-optimized K2TlIn3Bi4 structure. Source: Alexandria via LeMat-Bulk, functional PBE-GGA.

Computed properties:
Density of states at the Fermi level, states/eV/cell: 4.33
ΔE_f, meV per atom: -152.9
Spin magnetization, μB per formula unit: 0.00

Cell: 5.139 5.139 13.949 Å, 90.00 90.00 90.00°
Element x y z (fractional)
In 0.500 0.000 0.862
In 0.000 0.500 0.138
In 0.000 0.000 0.500
Bi 0.500 0.500 0.000
Bi 0.500 0.000 0.642
Bi 0.000 0.500 0.358
Bi 0.000 0.000 0.000
K 0.000 0.500 0.749
K 0.500 0.000 0.251
Tl 0.500 0.500 0.500

---

A geometry-optimized Tm6Pt2S structure. Source: Alexandria via LeMat-Bulk, functional PBE-GGA.

Computed properties:
Density of states at the Fermi level, states/eV/cell: 17.03
Formation energy without anion corrections, eV/atom: -1.0621
Spin magnetization, μB per formula unit: 0.00

Cell: 6.405 7.112 9.888 Å, 90.00 86.69 90.00°
Element x y z (fractional)
Tm 0.176 0.331 0.572
Tm 0.676 0.169 0.072
Tm 0.149 0.037 0.244
Tm 0.163 0.311 0.934
Tm 0.851 0.963 0.756
Tm 0.824 0.669 0.428
Tm 0.649 0.463 0.744
Tm 0.351 0.537 0.256
Tm 0.837 0.689 0.066
Tm 0.337 0.811 0.566
Tm 0.324 0.831 0.928
Tm 0.663 0.189 0.434
Pt 0.556 0.886 0.265
Pt 0.444 0.114 0.735
Pt 0.056 0.614 0.765
Pt 0.944 0.386 0.235
S 0.000 0.000 0.500
S 0.500 0.500 0.000

---

A geometry-optimized YTaCo2 structure. Source: Alexandria via LeMat-Bulk, functional PBE-GGA.

Computed properties:
Density of states at the Fermi level, states/eV/cell: 3.75
ΔE_f, meV per atom: 6.0
Spin magnetization, μB per formula unit: 1.33

Cell: 4.597 4.597 3.066 Å, 90.00 90.00 90.07°
Element x y z (fractional)
Y 0.000 0.500 0.500
Co 0.500 0.500 0.000
Co 0.000 0.000 0.000
Ta 0.500 0.000 0.500

---

A geometry-optimized EuPuTe2 structure. Source: Alexandria via LeMat-Bulk, functional PBE-GGA.

Computed properties:
Offset from the most stable computed form, meV/atom: 57
Density of states at the Fermi level, states/eV/cell: 20.38
Formation energy without anion corrections, eV/atom: -1.1125
Spin magnetization, μB per formula unit: 1.14

Cell: 5.528 5.528 5.528 Å, 60.00 60.00 60.00°
Element x y z (fractional)
Te 0.250 0.250 0.250
Te 0.750 0.750 0.750
Eu 0.000 0.000 0.000
Pu 0.500 0.500 0.500

---

A geometry-optimized AcTlH structure. Source: Alexandria via LeMat-Bulk, functional PBE-GGA.

Computed properties:
Offset from the most stable computed form, meV/atom: 0
Density of states at the Fermi level, states/eV/cell: 2.36
Spin magnetization, μB per formula unit: 0.00

Cell: 4.061 7.354 7.136 Å, 58.29 73.62 56.58°
Element x y z (fractional)
H 0.240 0.961 0.099
H 0.760 0.039 0.901
Tl 0.257 0.596 0.794
Tl 0.743 0.404 0.206
Ac 0.253 0.138 0.715
Ac 0.747 0.862 0.285

---

A geometry-optimized CaReBr2 structure. Source: Alexandria via LeMat-Bulk, functional PBE-GGA.

Computed properties:
Offset from the most stable computed form, meV/atom: 41
Density of states at the Fermi level, states/eV/cell: 1.55
Formation energy without anion corrections, eV/atom: 0.0076
Spin magnetization, μB per formula unit: 2.41

Cell: 7.484 7.484 5.176 Å, 92.01 92.01 27.18°
Element x y z (fractional)
Re 0.250 0.250 0.250
Ca 0.750 0.750 0.750
Br 0.105 0.105 0.982
Br 0.395 0.395 0.518

---

A geometry-optimized BaMg3Si structure. Source: Alexandria via LeMat-Bulk, functional PBE-GGA.

Computed properties:
Offset from the most stable computed form, meV/atom: 1403
Density of states at the Fermi level, states/eV/cell: 4.26
Formation energy without anion corrections, eV/atom: 1.5107
Spin magnetization, μB per formula unit: 2.18

Cell: 6.560 6.560 6.560 Å, 90.00 90.00 90.00°
Element x y z (fractional)
Mg 0.500 0.000 0.000
Mg 0.000 0.500 0.000
Mg 0.000 0.000 0.500
Si 0.500 0.500 0.500
Ba 0.000 0.000 0.000

---

A geometry-optimized BaNi3Rh structure. Source: Alexandria via LeMat-Bulk, functional PBE-GGA.

Computed properties:
Offset from the most stable computed form, meV/atom: 1599
Density of states at the Fermi level, states/eV/cell: 5.60
ΔE_f, meV per atom: 2082.9
Spin magnetization, μB per formula unit: 0.29

Cell: 4.750 4.750 4.750 Å, 90.00 90.00 90.00°
Element x y z (fractional)
Ni 0.000 0.000 0.500
Ni 0.000 0.500 0.000
Ni 0.500 0.000 0.000
Ba 0.000 0.000 0.000
Rh 0.500 0.500 0.500

---

A geometry-optimized BaCdAs2O6 structure. Source: Alexandria via LeMat-Bulk, functional PBE-GGA.

Computed properties:
Density of states at the Fermi level, states/eV/cell: 2.92
Formation energy without anion corrections, eV/atom: -1.3835
Spin magnetization, μB per formula unit: 0.00

Cell: 5.835 5.835 6.759 Å, 64.43 64.43 60.00°
Element x y z (fractional)
O 0.493 0.724 0.720
O 0.724 0.063 0.720
O 0.937 0.507 0.280
O 0.507 0.276 0.280
O 0.063 0.493 0.720
O 0.276 0.937 0.280
As 0.268 0.268 0.197
As 0.732 0.732 0.803
Cd 0.500 0.500 0.500
Ba 0.000 0.000 0.000

---

A geometry-optimized K2Li2OsO6 structure. Source: Alexandria via LeMat-Bulk, functional PBE-GGA.

Computed properties:
Formation energy without anion corrections, eV/atom: -1.4469
Spin magnetization, μB per formula unit: 0.00

Cell: 5.284 5.284 6.061 Å, 90.00 90.00 120.00°
Element x y z (fractional)
Os 0.000 0.000 0.000
O 0.294 0.294 0.176
O 0.706 0.000 0.176
O 0.706 0.706 0.824
O 0.294 0.000 0.824
O 0.000 0.706 0.176
O 0.000 0.294 0.824
Li 0.667 0.333 0.000
Li 0.333 0.667 0.000
K 0.333 0.667 0.500
K 0.667 0.333 0.500

---

A geometry-optimized Ac6Ni2PtI3 structure. Source: Alexandria via LeMat-Bulk, functional PBE-GGA.

Computed properties:
Density of states at the Fermi level, states/eV/cell: 6.79
Formation energy without anion corrections, eV/atom: -0.8863
Spin magnetization, μB per formula unit: 0.00

Cell: 7.632 7.632 8.990 Å, 98.13 98.13 120.01°
Element x y z (fractional)
Ac 0.401 0.061 0.183
Ac 0.279 0.279 0.817
Ac 0.939 0.599 0.817
Ac 0.061 0.401 0.183
Ac 0.721 0.721 0.183
Ac 0.599 0.939 0.817
I 0.167 0.833 0.500
I 0.500 0.500 0.500
I 0.833 0.167 0.500
Pt 0.000 0.000 0.000
Ni 0.333 0.667 0.000
Ni 0.667 0.333 0.000